No. 1
AcInNi3, relaxed, DFT GGA-PBE; calculated density = 8.9 g/cm3; Fermi-level density of states = 4.8 states/eV/f.u.; uncorrected energy = -5.00 eV/atom; spin magnetization = 0.00 μB/f.u.
1.0
3.9947 0.0000 0.0000
0.0000 4.0523 0.0000
0.0000 -2.0261 11.9621
Ac In Ni
2 2 6
direct
0.2500 0.0783 0.1565
0.7500 0.9217 0.8435
0.2500 0.7937 0.5874
0.7500 0.2063 0.4126
0.2500 0.3709 0.7417
0.7500 0.6291 0.2583
0.2500 0.4725 0.9449
0.7500 0.5275 0.0551
0.7500 0.3157 0.6314
0.2500 0.6843 0.3686

***

No. 2
Hg2B4H, relaxed, DFT GGA-PBE; calculated density = 8.5 g/cm3; Fermi-level density of states = 2.1 states/eV/f.u.; uncorrected energy = -3.09 eV/atom; spin magnetization = 0.00 μB/f.u.
1.0
2.9117 0.0000 0.0000
0.0000 2.9117 0.0000
1.4559 1.4559 10.2322
H B Hg
1 4 2
direct
0.0000 0.0000 0.0000
0.9335 0.9335 0.1331
0.0665 0.0665 0.8669
0.0000 0.5000 0.0000
0.5000 0.0000 0.0000
0.6742 0.6742 0.6515
0.3258 0.3258 0.3485